This record from OQMD describes a relaxed GdZnInTe3 crystal. The functional is GGA-PBE.

The structure in POSCAR format:
```
GdZnInTe3
1.0
-6.569 4.695 -8.349
0.347 -3.661 -2.332
-12.565 -5.514 6.786
Te In Zn Gd
12 4 4 4
Direct
0.951 0.750 0.117
0.049 0.250 0.883
0.420 0.250 0.891
0.739 0.750 0.827
0.549 0.250 0.617
0.920 0.250 0.609
0.761 0.250 0.327
0.239 0.750 0.673
0.580 0.750 0.109
0.261 0.250 0.173
0.080 0.750 0.391
0.451 0.750 0.383
0.275 0.250 0.493
0.225 0.750 0.993
0.775 0.250 0.007
0.725 0.750 0.507
0.239 0.250 0.784
0.739 0.250 0.716
0.761 0.750 0.216
0.261 0.750 0.284
0.486 0.750 0.755
0.014 0.250 0.255
0.986 0.750 0.745
0.514 0.250 0.245
```

**Space group**: Pnma (62)
**E above lowest polymorph**: 0.0 meV/atom

=====

This record from OQMD describes a relaxed GdThIn crystal. The functional is GGA-PBE.

The structure in POSCAR format:
```
GdThIn
1.0
0.000 3.706 3.706
3.706 0.000 3.706
3.706 3.706 0.000
Th Gd In
1 1 1
Direct
0.000 0.000 0.000
0.500 0.500 0.500
0.250 0.250 0.250
```

**E_tot**: -4.86 eV/atom
**Space group**: F-43m (216)

=====

This record from OQMD describes a relaxed Gd2TmIn crystal. The functional is GGA-PBE.

The structure in POSCAR format:
```
Gd2TmIn
1.0
4.827 0.000 0.000
0.000 4.827 0.000
0.000 0.000 4.854
Gd In Tm
2 1 1
Direct
0.500 0.000 0.500
0.000 0.500 0.500
0.000 0.000 0.000
0.500 0.500 0.000
```

**E_tot**: -4.40 eV/atom
**Space group**: P4/mmm (123)